LaGdPd: relaxed, GGA-PBE. Values from VASP.

formation energy from the elements = -8.9 kcal/mol of atoms
space group = No. 156
total DFT energy (no corrections) = -8.453 eV per atom
calculated volume = 27.431 Å³ per atom
total magnetic moment = 7.2 μB per formula unit

Quantum ESPRESSO input file:
```
&SYSTEM
  ibrav = 0, nat = 3, ntyp = 3
/
ATOMIC_SPECIES
Pd 106.42 Pd.upf
La 138.91 La.upf
Gd 157.25 Gd.upf
ATOMIC_POSITIONS crystal
Pd 0.3816 0.3333 0.6667
La 0.0362 0.0000 0.0000
Gd 0.5822 0.6667 0.3333
CELL_PARAMETERS angstrom
-0.5340 3.9305 -0.9416
-4.7535 -0.4793 0.6950
2.8612 1.2692 3.6757
```


AlAgPd2Cl: relaxed, GGA-PBE. Values from VASP.

formation energy without anion corrections = 0.163 eV/atom
space group = No. 123
total DFT energy (no corrections) = -3.603 eV per atom
calculated volume = 20.784 Å³ per atom
total magnetic moment = 0.0 μB per formula unit

Quantum ESPRESSO input file:
```
&SYSTEM
  ibrav = 0, nat = 5, ntyp = 4
/
ATOMIC_SPECIES
Al 26.98 Al.upf
Ag 107.87 Ag.upf
Pd 106.42 Pd.upf
Cl 35.45 Cl.upf
ATOMIC_POSITIONS crystal
Al 0.0000 0.0000 0.0000
Ag 0.5000 0.5000 0.5000
Pd 0.0000 0.0000 0.5000
Pd 0.5000 0.0000 0.0000
Cl 0.0000 0.5000 0.0000
CELL_PARAMETERS angstrom
-0.1159 2.9989 3.6029
-3.6129 -2.3980 1.8797
3.0208 -2.7081 2.3513
```


PaOsRu2: relaxed, GGA-PBE. Values from VASP.

formation energy from the elements = 1.2 kcal/mol of atoms
space group = No. 166
total DFT energy (no corrections) = -9.768 eV per atom
calculated volume = 17.257 Å³ per atom
total magnetic moment = 0.0 μB per formula unit

Quantum ESPRESSO input file:
```
&SYSTEM
  ibrav = 0, nat = 4, ntyp = 3
/
ATOMIC_SPECIES
Ru 101.07 Ru.upf
Os 190.23 Os.upf
Pa 231.04 Pa.upf
ATOMIC_POSITIONS crystal
Ru 0.2235 0.2235 0.3295
Ru 0.7765 0.7765 0.6705
Os 0.0000 0.0000 0.0000
Pa 0.5000 0.5000 0.5000
CELL_PARAMETERS angstrom
-1.7147 -3.8602 1.6265
-1.4203 -3.2213 -2.8447
2.5122 -3.9368 -0.3971
```


Zn2SiRh2: relaxed, GGA-PBE. Values from VASP.

formation energy without anion corrections = -0.480 eV/atom
space group = No. 127
total DFT energy (no corrections) = -5.015 eV per atom
calculated volume = 14.975 Å³ per atom
total magnetic moment = 0.0 μB per formula unit

Quantum ESPRESSO input file:
```
&SYSTEM
  ibrav = 0, nat = 10, ntyp = 3
/
ATOMIC_SPECIES
Si 28.09 Si.upf
Rh 102.91 Rh.upf
Zn 65.41 Zn.upf
ATOMIC_POSITIONS crystal
Si 0.5000 0.5000 0.0000
Si 0.0000 0.0000 0.0000
Rh 0.1573 0.3427 0.0000
Rh 0.6573 0.1573 0.0000
Rh 0.3427 0.8427 0.0000
Rh 0.8427 0.6573 0.0000
Zn 0.8493 0.3493 0.5000
Zn 0.1507 0.6507 0.5000
Zn 0.6507 0.8493 0.5000
Zn 0.3493 0.1507 0.5000
CELL_PARAMETERS angstrom
-4.8527 2.9538 2.2589
-2.3603 0.4229 -5.6237
-1.8830 -3.4969 0.5274
```


Dy6YTm2: relaxed, GGA-PBE. Values from VASP.

formation energy from the elements = 9.3 kcal/mol of atoms
space group = No. 160
total DFT energy (no corrections) = -4.378 eV per atom
calculated volume = 34.821 Å³ per atom
total magnetic moment = 0.0 μB per formula unit

Quantum ESPRESSO input file:
```
&SYSTEM
  ibrav = 0, nat = 9, ntyp = 3
/
ATOMIC_SPECIES
Tm 168.93 Tm.upf
Dy 162.50 Dy.upf
Y 88.91 Y.upf
ATOMIC_POSITIONS crystal
Tm 0.7481 0.7481 0.7558
Tm 0.5814 0.5814 0.2557
Dy 0.7713 0.2800 0.6689
Dy 0.0531 0.0534 0.3291
Dy 0.2798 0.7713 0.6689
Dy 0.0534 0.5645 0.3291
Dy 0.2800 0.2798 0.6689
Dy 0.5645 0.0531 0.3291
Y 0.3342 0.3342 0.9975
CELL_PARAMETERS angstrom
-3.9608 -3.2259 4.6866
-1.0722 -6.8321 -0.4816
4.3962 -4.6069 5.6715
```


RbMgIn2: relaxed, GGA-PBE. Values from VASP.

formation energy from the elements = -0.9 kcal/mol of atoms
space group = No. 166
total DFT energy (no corrections) = -2.048 eV per atom
calculated volume = 37.242 Å³ per atom
total magnetic moment = 0.0 μB per formula unit

Quantum ESPRESSO input file:
```
&SYSTEM
  ibrav = 0, nat = 4, ntyp = 3
/
ATOMIC_SPECIES
Rb 85.47 Rb.upf
In 114.82 In.upf
Mg 24.30 Mg.upf
ATOMIC_POSITIONS crystal
Rb 0.5000 0.5000 0.5000
In 0.2986 0.2986 0.1041
In 0.7014 0.7014 0.8959
Mg 0.0000 0.0000 0.0000
CELL_PARAMETERS angstrom
5.0454 0.0000 0.0000
2.5227 4.3694 0.0000
2.5227 1.4565 6.7573
```


TbNdThMg: relaxed, GGA-PBE. Values from VASP.

formation energy from the elements = -1.1 kcal/mol of atoms
space group = No. 99
total DFT energy (no corrections) = -4.650 eV per atom
calculated volume = 30.598 Å³ per atom
total magnetic moment = 0.0 μB per formula unit

Quantum ESPRESSO input file:
```
&SYSTEM
  ibrav = 0, nat = 4, ntyp = 4
/
ATOMIC_SPECIES
Th 232.04 Th.upf
Mg 24.30 Mg.upf
Nd 144.24 Nd.upf
Tb 158.93 Tb.upf
ATOMIC_POSITIONS crystal
Th 0.5000 0.5000 0.8164
Mg 0.5000 0.5000 0.3276
Nd 0.0000 0.0000 0.0794
Tb 0.0000 0.0000 0.5612
CELL_PARAMETERS angstrom
-2.9514 -0.1032 2.0991
2.1012 -0.0722 2.9508
-0.1086 9.3178 0.3052
```


BaMo2Se: relaxed, GGA-PBE. Values from VASP.

formation energy without anion corrections = 0.116 eV/atom
space group = No. 6
total DFT energy (no corrections) = -6.651 eV per atom
calculated volume = 23.868 Å³ per atom
total magnetic moment = 0.0 μB per formula unit

Quantum ESPRESSO input file:
```
&SYSTEM
  ibrav = 0, nat = 4, ntyp = 3
/
ATOMIC_SPECIES
Ba 137.33 Ba.upf
Mo 95.94 Mo.upf
Se 78.96 Se.upf
ATOMIC_POSITIONS crystal
Ba 0.5000 0.8742 0.7149
Mo 0.5000 0.3755 0.1825
Mo 0.0000 0.8756 0.1591
Se 0.0000 0.3747 0.4435
CELL_PARAMETERS angstrom
-3.1821 2.0846 -1.7051
-0.2993 -2.4170 -2.3963
-4.2910 -3.3551 3.9063
```


Ce2ZnSn: relaxed, GGA-PBE. Values from VASP.

formation energy from the elements = -9.4 kcal/mol of atoms
space group = No. 74
total DFT energy (no corrections) = -4.694 eV per atom
calculated volume = 25.032 Å³ per atom
total magnetic moment = 1.5 μB per formula unit

Quantum ESPRESSO input file:
```
&SYSTEM
  ibrav = 0, nat = 8, ntyp = 3
/
ATOMIC_SPECIES
Sn 118.71 Sn.upf
Ce 140.12 Ce.upf
Zn 65.41 Zn.upf
ATOMIC_POSITIONS crystal
Sn 0.7500 0.2087 0.2913
Sn 0.2500 0.7913 0.7087
Ce 0.7251 0.2749 0.7749
Ce 0.2251 0.2749 0.7749
Ce 0.2749 0.7251 0.2251
Ce 0.7749 0.7251 0.2251
Zn 0.7500 0.7874 0.7126
Zn 0.2500 0.2126 0.2874
CELL_PARAMETERS angstrom
5.6424 0.0000 3.1057
2.2323 5.5224 2.6228
0.0945 0.1110 6.5068
```


Pm3Pr3Pb5: relaxed, GGA-PBE. Values from VASP.

formation energy from the elements = 11.3 kcal/mol of atoms
space group = No. 189
total DFT energy (no corrections) = -3.796 eV per atom
calculated volume = 43.369 Å³ per atom
total magnetic moment = 0.0 μB per formula unit

Quantum ESPRESSO input file:
```
&SYSTEM
  ibrav = 0, nat = 11, ntyp = 3
/
ATOMIC_SPECIES
Pr 140.91 Pr.upf
Pm 145.00 Pm.upf
Pb 207.20 Pb.upf
ATOMIC_POSITIONS crystal
Pr 0.0000 0.0000 0.3650
Pr 0.0000 0.6350 0.6350
Pr 0.0000 0.3650 0.0000
Pm 0.5000 0.0000 0.3759
Pm 0.5000 0.6241 0.6241
Pm 0.5000 0.3759 0.0000
Pb 0.5000 0.7828 0.0000
Pb 0.5000 0.6667 0.3333
Pb 0.5000 0.3333 0.6667
Pb 0.5000 0.0000 0.7828
Pb 0.5000 0.2172 0.2172
CELL_PARAMETERS angstrom
5.9898 0.0000 0.0000
0.0000 9.5899 0.0000
0.0000 -4.7950 8.3051
```


Rb2SmPtO6: relaxed, GGA-PBE. Values from VASP.

formation energy without anion corrections = -1.410 eV/atom
space group = No. 225
total DFT energy (no corrections) = -5.655 eV per atom
calculated volume = 15.722 Å³ per atom
total magnetic moment = 2.9 μB per formula unit

Quantum ESPRESSO input file:
```
&SYSTEM
  ibrav = 0, nat = 10, ntyp = 4
/
ATOMIC_SPECIES
Rb 85.47 Rb.upf
O 16.00 O.upf
Pt 195.08 Pt.upf
Sm 150.36 Sm.upf
ATOMIC_POSITIONS crystal
Rb 0.7500 0.7500 0.7500
Rb 0.2500 0.2500 0.2500
O 0.2293 0.7707 0.2293
O 0.7707 0.2293 0.7707
O 0.2293 0.7707 0.7707
O 0.7707 0.2293 0.2293
O 0.2293 0.2293 0.7707
O 0.7707 0.7707 0.2293
Pt 0.0000 0.0000 0.0000
Sm 0.5000 0.5000 0.5000
CELL_PARAMETERS angstrom
-0.1821 -5.8789 1.4515
1.2930 -1.7668 5.6487
-4.3987 -2.0965 3.5998
```


Ca2LaRe: relaxed, GGA-PBE. Values from VASP.

formation energy from the elements = 16.0 kcal/mol of atoms
space group = No. 47
total DFT energy (no corrections) = -4.652 eV per atom
calculated volume = 25.976 Å³ per atom
total magnetic moment = 0.0 μB per formula unit

Quantum ESPRESSO input file:
```
&SYSTEM
  ibrav = 0, nat = 4, ntyp = 3
/
ATOMIC_SPECIES
Ca 40.08 Ca.upf
Re 186.21 Re.upf
La 138.91 La.upf
ATOMIC_POSITIONS crystal
Ca 0.0000 0.0000 0.9731
Ca 0.0000 0.0000 0.5269
Re 0.5000 0.5000 0.7500
La 0.5000 0.5000 0.2500
CELL_PARAMETERS angstrom
-0.6200 2.0772 -2.2710
-4.0911 1.6982 2.6702
3.7055 4.3136 2.9338
```


CaLaHgBi: relaxed, GGA-PBE. Values from VASP.

formation energy from the elements = -14.9 kcal/mol of atoms
space group = No. 216
total DFT energy (no corrections) = -3.423 eV per atom
calculated volume = 30.444 Å³ per atom
total magnetic moment = 0.0 μB per formula unit

Quantum ESPRESSO input file:
```
&SYSTEM
  ibrav = 0, nat = 4, ntyp = 4
/
ATOMIC_SPECIES
Hg 200.59 Hg.upf
Bi 208.98 Bi.upf
Ca 40.08 Ca.upf
La 138.91 La.upf
ATOMIC_POSITIONS crystal
Hg 0.0000 0.0000 0.0000
Bi 0.5000 0.5000 0.5000
Ca 0.2500 0.2500 0.2500
La 0.7500 0.7500 0.7500
CELL_PARAMETERS angstrom
5.5636 0.0000 0.0000
2.7818 4.8183 0.0000
2.7818 1.6061 4.5427
```